A geometry-optimized Pu2TlNiO8 structure, computed with PBE with a Hubbard U.

## Properties
Total moment (Bohr magnetons per cell): 5.00
E_tot (eV for the cell shown): -93.182
Theoretical density (g cm⁻³): 9.38

Cell: 6.538 6.538 6.538 Å, 131.01 131.01 71.79°
Atoms (fractional coordinates):
Pu1 0.000 0.000 0.000
Pu2 0.750 0.250 0.500
Tl1 0.500 0.500 0.000
Ni1 0.250 0.750 0.500
O1 0.009 0.987 0.597
O2 0.013 0.610 0.021
O3 0.111 0.254 0.489
O4 0.378 0.889 0.144
O5 0.390 0.411 0.403
O6 0.589 0.991 0.979
O7 0.746 0.235 0.856
O8 0.765 0.622 0.511